1.
## LaPmZn10 (PBE-GGA)

Data for LaPmZn10 after structural relaxation.

abc: 4.266 5.410 9.378
angles: 90.00 90.00 90.00
Positions (direct):
1 Zn 0.500 0.000 0.500
2 Zn 0.000 0.000 0.671
3 Zn 0.000 0.500 0.163
4 Zn 0.500 0.500 0.000
5 Zn 0.500 0.249 0.752
6 Zn 0.500 0.249 0.248
7 Zn 0.000 0.000 0.329
8 Zn 0.500 0.751 0.752
9 Zn 0.500 0.751 0.248
10 Zn 0.000 0.500 0.837
11 Pm 0.000 0.000 0.000
12 La 0.000 0.500 0.500

Output
Space-group type: Pmmm (47)
ΔE_f, eV per atom: -0.302
Total magnetization, μB per cell: 0.0

=====

2.
## LaPm4Zn4 (PBE-GGA)

Data for LaPm4Zn4 after structural relaxation.

abc: 5.319 9.596 9.596
angles: 90.00 90.00 90.00
Positions (direct):
1 Zn 0.500 0.922 0.182
2 Zn 0.000 0.578 0.318
3 Zn 0.000 0.422 0.682
4 Zn 0.500 0.182 0.078
5 Zn 0.000 0.682 0.578
6 Zn 0.500 0.818 0.922
7 Zn 0.500 0.078 0.818
8 Zn 0.000 0.318 0.422
9 Pm 0.001 0.897 0.344
10 Pm 0.501 0.156 0.397
11 Pm 0.999 0.344 0.103
12 Pm 0.499 0.603 0.156
13 Pm 0.001 0.103 0.656
14 Pm 0.999 0.656 0.897
15 Pm 0.499 0.397 0.844
16 Pm 0.501 0.844 0.603
17 La 0.000 0.000 0.000
18 La 0.500 0.500 0.500

Output
Space-group type: I4/m (87)
ΔE_f, eV per atom: -0.137
Total magnetization, μB per cell: 0.0

=====

3.
## La8PmZn2 (PBE-GGA)

Data for La8PmZn2 after structural relaxation.

abc: 5.882 8.648 8.648
angles: 117.15 99.80 99.80
Positions (direct):
1 La 0.911 0.918 0.688
2 La 0.089 0.312 0.082
3 La 0.089 0.082 0.312
4 La 0.500 0.236 0.764
5 La 0.911 0.688 0.918
6 La 0.500 0.764 0.236
7 La 0.305 0.600 0.600
8 La 0.695 0.400 0.400
9 Zn 0.000 0.692 0.308
10 Zn 0.000 0.308 0.692
11 Pm 0.500 0.000 0.000

Output
Space-group type: C2/m (12)
ΔE_f, eV per atom: -0.019
Total magnetization, μB per cell: 0.0
Offset from the most stable computed form, meV per atom: 49

=====

4.
## La5PmZn (PBE-GGA)

Data for La5PmZn after structural relaxation.

abc: 5.232 5.232 8.902
angles: 90.00 90.00 90.00
Positions (direct):
1 La 0.500 0.000 0.706
2 La 0.000 0.500 0.706
3 La 0.500 0.000 0.294
4 La 0.500 0.500 0.000
5 La 0.000 0.500 0.294
6 Zn 0.000 0.000 0.500
7 Pm 0.000 0.000 0.000

Output
Space-group type: P4/mmm (123)
ΔE_f, eV per atom: 0.012
Total magnetization, μB per cell: 0.0